A relaxed structure of Ti5FeNi. Source: Alexandria via LeMat-Bulk, functional PBE.

calculated formation energy = 0.36 eV per formula unit
calculated total energy = -7.623 eV/atom
density = 5.4 g/cm³
DOS at the Fermi energy = 23.6 states/eV/cell

Cell: 9.1336 5.4831 9.5589 Å, 90.00 113.56 90.00°
Last column: nearest neighbours and their distance in Å.
Space group C2/c (No. 15)
Asymmetric unit:
Ti (0.0000, 0.0345, 0.2500) (multiplicity 4)  2 Fe 2.40, 2 Ti 2.67, 1 Ni 2.68
Ti (0.1324, 0.3853, 0.5000) (multiplicity 8)  1 Ni 2.37, 1 Fe 2.43, 1 Ti 2.61
Ti (0.2355, 0.2259, 0.1872) (multiplicity 8)  1 Ni 2.45, 1 Fe 2.51, 2 Ti 2.67-2.70
Fe (0.0000, 0.0000, 0.0000) (multiplicity 4)  6 Ti 2.40-2.51
Ni (0.0000, 0.4542, 0.7500) (multiplicity 4)  4 Ti 2.37-2.45